# 1
Computed, not measured: a geometry-optimized CdOs3 structure at the PBE-GGA level of DFT.

```
CdOs3
1.0
4.910 0.000 0.000
0.000 9.118 0.000
0.000 0.000 5.572
Cd Os
4 12
Direct
0.063 0.250 0.137
0.437 0.750 0.637
0.563 0.250 0.363
0.937 0.750 0.863
0.079 0.250 0.644
0.225 0.512 0.372
0.225 0.988 0.372
0.275 0.012 0.872
0.275 0.488 0.872
0.421 0.750 0.144
0.579 0.250 0.856
0.725 0.512 0.128
0.725 0.988 0.128
0.775 0.012 0.628
0.775 0.488 0.628
0.921 0.750 0.356
```

Properties
The calculation puts the volume at 15.59 Å³ per atom. The energy above the most stable polymorph in this dataset comes out at 0.320 eV per atom. The space group is Pnma.

=====

# 2
Computed, not measured: a geometry-optimized Rb3Th3MgTe8 structure at the PBE-GGA level of DFT.

```
Rb3Th3MgTe8
1.0
4.509 2.603 8.800
-4.509 2.603 8.800
0.000 -5.207 8.800
Rb Th Mg Te
3 3 1 8
Direct
0.000 0.500 0.500
0.500 0.000 0.500
0.500 0.500 0.000
0.000 0.000 0.500
0.000 0.500 0.000
0.500 0.000 0.000
0.500 0.500 0.500
0.237 0.237 0.237
0.239 0.729 0.729
0.271 0.271 0.761
0.271 0.761 0.271
0.729 0.239 0.729
0.729 0.729 0.239
0.761 0.271 0.271
0.763 0.763 0.763
```

Properties
The calculation puts the volume at 41.32 Å³ per atom. The value obtained for the uncorrected energy is -4.599 eV/atom. The space group is R-3m.

=====

# 3
Computed, not measured: a geometry-optimized Te2Au2Cl structure at the PBE-GGA level of DFT.

```
Te2Au2Cl
1.0
8.057 0.000 0.000
0.000 8.057 0.000
0.000 0.000 3.704
Te Au Cl
4 4 2
Direct
0.189 0.311 0.000
0.311 0.811 0.000
0.689 0.189 0.000
0.811 0.689 0.000
0.122 0.622 0.500
0.378 0.122 0.500
0.622 0.878 0.500
0.878 0.378 0.500
0.000 0.000 0.000
0.500 0.500 0.000
```

Properties
The calculation puts the volume at 24.04 Å³ per atom. The energy above the most stable polymorph in this dataset comes out at 0.098 eV per atom. The space group is P4/mbm.

=====

# 4
Computed, not measured: a geometry-optimized TbTh2Tl structure at the PBE-GGA level of DFT.

```
TbTh2Tl
1.0
1.707 0.986 12.403
-1.707 0.986 12.403
0.000 -1.971 12.403
Tb Th Tl
1 2 1
Direct
0.000 0.000 0.000
0.090 0.090 0.090
0.910 0.910 0.910
0.500 0.500 0.500
```

Properties
The calculation puts the volume at 31.31 Å³ per atom. The energy above the most stable polymorph in this dataset comes out at 0.293 eV per atom. The space group is R-3m.

=====

# 5
Computed, not measured: a geometry-optimized CeTh2As2Rh7 structure at the PBE-GGA level of DFT.

```
CeTh2As2Rh7
1.0
2.893 -2.863 0.000
2.893 2.863 0.000
-2.135 0.000 13.561
Ce Th As Rh
1 2 2 7
Direct
0.000 0.000 0.000
0.122 0.122 0.352
0.878 0.878 0.648
0.407 0.407 0.748
0.593 0.593 0.252
0.058 0.558 0.156
0.353 0.353 0.569
0.442 0.942 0.844
0.500 0.500 0.000
0.558 0.058 0.156
0.647 0.647 0.431
0.942 0.442 0.844
```

Properties
The calculation puts the volume at 18.72 Å³ per atom. The value obtained for the uncorrected energy is -7.620 eV/atom. The space group is C2/m.

=====

# 6
Computed, not measured: a geometry-optimized TaNiRu structure at the PBE-GGA level of DFT.

```
TaNiRu
1.0
0.000 2.941 2.941
2.941 0.000 2.941
2.941 2.941 0.000
Ta Ni Ru
1 1 1
Direct
0.000 0.000 0.000
0.750 0.750 0.750
0.250 0.250 0.250
```

Properties
The calculation puts the volume at 16.95 Å³ per atom. The energy above the most stable polymorph in this dataset comes out at 0.573 eV per atom. The space group is F-43m.

=====

# 7
Computed, not measured: a geometry-optimized HfSeS2 structure at the PBE-GGA level of DFT.

```
HfSeS2
1.0
1.710 0.987 8.387
-1.710 0.987 8.387
0.000 -1.975 8.387
Hf Se S
1 1 2
Direct
0.000 0.000 0.000
0.500 0.500 0.500
0.096 0.096 0.096
0.904 0.904 0.904
```

Properties
The calculation puts the volume at 21.24 Å³ per atom. The value obtained for the uncorrected energy is -5.139 eV/atom. The space group is R-3m.

=====

# 8
Computed, not measured: a geometry-optimized LiMnPt2 structure at the PBE-GGA level of DFT.

```
LiMnPt2
1.0
2.857 0.000 0.000
0.000 3.494 0.000
-0.027 0.000 5.706
Li Mn Pt
1 1 2
Direct
0.000 0.000 0.000
0.000 0.000 0.500
0.500 0.500 0.243
0.500 0.500 0.757
```

Properties
The calculation puts the volume at 14.24 Å³ per atom. The energy above the most stable polymorph in this dataset comes out at 0.018 eV per atom. The space group is P2/m.